Density functional theory data (PBE) for crystalline Pa3Be2Ge3 at its relaxed geometry.

Unit cell a=5.707 b=5.707 c=14.866 alpha=90.00 beta=90.00 gamma=140.88
Positions (direct):
Pa 0.045 0.955 0.750
Pa 0.355 0.645 0.597
Pa 0.355 0.645 0.903
Pa 0.645 0.355 0.097
Pa 0.645 0.355 0.403
Pa 0.955 0.045 0.250
Be 0.360 0.640 0.123
Be 0.360 0.640 0.377
Be 0.640 0.360 0.623
Be 0.640 0.360 0.877
Ge 0.083 0.917 0.558
Ge 0.083 0.917 0.942
Ge 0.231 0.769 0.250
Ge 0.769 0.231 0.750
Ge 0.917 0.083 0.058
Ge 0.917 0.083 0.442

Calculated volume in Å³/cell: 305
Energy of formation in meV per atom: -338
D(E_F) in states/eV/f.u.: 10.24
Symmetry: Cmcm
DFT total energy in eV per atom: -6.562